Record 1
Compound: SnBiTe3
Source: Alexandria via LeMat-Bulk
Functional: PBE
Structure: relaxed

Summary:
**Distance to the lowest polymorph of the same formula**: 524.3 meV per atom
**Raw formation energy**: 442 meV/atom
**Total DFT energy (no corrections)**: -15.10 eV for the cell shown

Cell lengths 5.6577, 5.6577, 5.6577 Å; angles 90.00, 90.00, 90.00 degrees
Fractional positions:
Sn: 0.0000 0.0000 0.0000
Bi: 0.5000 0.5000 0.5000
Te: 0.0000 0.0000 0.5000
Te: 0.0000 0.5000 0.0000
Te: 0.5000 0.0000 0.0000

***

Record 2
Compound: Sn2BiTe3
Source: Alexandria via LeMat-Bulk
Functional: PBE
Structure: relaxed

Summary:
**Raw formation energy**: -191 meV/atom
**Total DFT energy (no corrections)**: -44.92 eV for the cell shown

Cell lengths 4.6718, 6.5276, 13.0916 Å; angles 90.00, 90.00, 90.00 degrees
Fractional positions:
Sn: 0.0000 0.0000 0.1645
Sn: 0.0000 0.0000 0.8355
Sn: 0.5000 0.5000 0.3355
Sn: 0.5000 0.5000 0.6645
Bi: 0.0000 0.0000 0.5000
Bi: 0.5000 0.5000 0.0000
Te: 0.0000 0.5000 0.1656
Te: 0.0000 0.5000 0.5000
Te: 0.0000 0.5000 0.8344
Te: 0.5000 0.0000 0.0000
Te: 0.5000 0.0000 0.3344
Te: 0.5000 0.0000 0.6656

***

Record 3
Compound: SnBiTe2
Source: Alexandria via LeMat-Bulk
Functional: PBE
Structure: relaxed

Summary:
**Raw formation energy**: -111 meV/atom
**Total DFT energy (no corrections)**: -43.84 eV for the cell shown

Cell lengths 4.2496, 4.2496, 25.1429 Å; angles 90.00, 90.00, 120.00 degrees
Fractional positions:
Sn: 0.0000 0.0000 0.0000
Sn: 0.3333 0.6667 0.6667
Sn: 0.6667 0.3333 0.3333
Bi: 0.0000 0.0000 0.8320
Bi: 0.3333 0.6667 0.4986
Bi: 0.6667 0.3333 0.1653
Te: 0.0000 0.0000 0.4130
Te: 0.0000 0.0000 0.5854
Te: 0.3333 0.6667 0.0797
Te: 0.3333 0.6667 0.2521
Te: 0.6667 0.3333 0.7463
Te: 0.6667 0.3333 0.9187

***

Number 1 is which compound?
SnBiTe3

***

Which value of raw formation energy does entry 1 give?
442 meV/atom